[1]
The following is a GGA-PBEsol calculation of crystalline Ti3BeGa at its relaxed geometry, from Alexandria.

Properties
Crystal system ... cubic
Volume ... 79.54 Å³/cell
Total magnetization ... 0.00 μB/f.u.
ΔH_f (0 K) ... 148 meV/atom

Lattice parameters (Å, degrees): 4.3007 4.3007 4.3007 90.00 90.00 90.00
With the nearest neighbours (Å) after each atom.
Space group Pm-3m (No. 221)
Symmetry-distinct sites (fractional):
Ti  0.0000  0.0000  0.5000 x3  2 Be 2.15
Be  0.0000  0.0000  0.0000 x1  6 Ti 2.15
Ga  0.5000  0.5000  0.5000 x1  12 Ti 3.04

---

[2]
The following is a GGA-PBEsol calculation of crystalline YBe2Ga2 at its relaxed geometry, from Alexandria.

Properties
Crystal system ... tetragonal
Volume ... 149.99 Å³/cell
Total magnetization ... 0.00 μB/f.u.
ΔH_f (0 K) ... -403 meV/atom

Lattice parameters (Å, degrees): 3.9164 3.9164 9.7786 90.00 90.00 90.00
With the nearest neighbours (Å) after each atom.
Space group I4/mmm (No. 139)
Symmetry-distinct sites (fractional):
Y  0.0000  0.0000  0.0000 x2  8 Ga 3.03, 8 Be 3.13
Be  0.0000  0.5000  0.2500 x4  4 Ga 2.31
Ga  0.0000  0.0000  0.3744 x4  4 Be 2.31, 1 Ga 2.46

---

[3]
The following is a GGA-PBEsol calculation of crystalline ZrBeGa3 at its relaxed geometry, from Alexandria.

Properties
Crystal system ... cubic
Volume ... 82.08 Å³/cell
Total magnetization ... 0.00 μB/f.u.
ΔH_f (0 K) ... 181 meV/atom

Lattice parameters (Å, degrees): 4.3460 4.3460 4.3460 90.00 90.00 90.00
With the nearest neighbours (Å) after each atom.
Space group Pm-3m (No. 221)
Symmetry-distinct sites (fractional):
Zr  0.0000  0.0000  0.0000 x1  12 Ga 3.07
Be  0.5000  0.5000  0.5000 x1  6 Ga 2.17
Ga  0.0000  0.5000  0.5000 x3  2 Be 2.17

---

What is the ΔH_f (0 K) in the third record? 181 meV/atom